(1)
The following is a PBE calculation of a relaxed structure of BeCuBiAu, from OQMD.

a = 4.691 Å, b = 4.691 Å, c = 4.691 Å
α = 60.00°, β = 60.00°, γ = 60.00°
Fractional coordinates of all 4 atoms:
Be 0.500 0.500 0.500
Cu 0.250 0.250 0.250
Au 0.750 0.750 0.750
Bi 0.000 0.000 0.000

## Properties
Its polymorph energy (0 for the lowest one) is 0.52 eV per formula unit. The calculation puts the total DFT energy (no corrections) at -3.195 eV/atom. Its space group is F-43m, No. 216.



(2)
The following is a PBE calculation of a relaxed structure of NaRe2O4, from OQMD.

a = 6.333 Å, b = 6.333 Å, c = 6.333 Å
α = 119.99°, β = 90.01°, γ = 119.99°
Last column: magnetic moment on the atom in μB.
Fractional coordinates of all 14 atoms:
O 0.144 0.712 0.856  0.11
O 0.606 0.212 0.818  0.12
O 0.568 0.712 0.856  0.11
O 0.182 0.788 0.394  0.11
O 0.606 0.212 0.394  0.12
O 0.144 0.288 0.856  0.12
O 0.144 0.288 0.432  0.12
O 0.606 0.788 0.394  0.11
Na 0.000 0.000 0.000  0.01
Na 0.750 0.500 0.250  0.01
Re 0.375 0.250 0.625  2.20
Re 0.375 0.750 0.625  2.09
Re 0.375 0.750 0.125  2.10
Re 0.875 0.250 0.625  2.19

## Properties
The calculation puts the total DFT energy (no corrections) at -7.622 eV/atom. Its space group is Fd-3m, No. 227.



(3)
The following is a PBE calculation of a relaxed structure of PmPAuO, from OQMD.

a = 5.577 Å, b = 5.577 Å, c = 4.707 Å
α = 90.00°, β = 90.00°, γ = 90.00°
Fractional coordinates of all 8 atoms:
Pm 0.500 0.000 0.500
Pm 0.000 0.500 0.500
O 0.500 0.000 0.000
O 0.000 0.500 0.000
Au 0.500 0.500 0.995
Au 0.000 0.000 0.005
P 0.500 0.500 0.495
P 0.000 0.000 0.505

## Properties
Its polymorph energy (0 for the lowest one) is 2.49 eV per formula unit. The calculation puts the total DFT energy (no corrections) at -5.542 eV/atom. Its space group is P4/nmm, No. 129.



(4)
The following is a PBE calculation of a relaxed structure of NaGdAgSe3, from OQMD.

a = 10.853 Å, b = 4.076 Å, c = 13.680 Å
α = 90.00°, β = 90.00°, γ = 90.00°
Fractional coordinates of all 24 atoms:
Na 0.779 0.250 0.990
Na 0.721 0.750 0.490
Na 0.221 0.750 0.010
Na 0.279 0.250 0.510
Se 0.767 0.250 0.659
Se 0.037 0.250 0.112
Se 0.233 0.750 0.341
Se 0.921 0.250 0.398
Se 0.733 0.750 0.159
Se 0.079 0.750 0.602
Se 0.963 0.750 0.888
Se 0.463 0.750 0.612
Se 0.537 0.250 0.388
Se 0.421 0.250 0.102
Se 0.267 0.250 0.841
Se 0.579 0.750 0.898
Ag 0.234 0.250 0.220
Ag 0.766 0.750 0.780
Ag 0.266 0.750 0.720
Ag 0.734 0.250 0.280
Gd 0.518 0.250 0.756
Gd 0.018 0.250 0.744
Gd 0.482 0.750 0.244
Gd 0.982 0.750 0.256

## Properties
The calculation puts the total DFT energy (no corrections) at -4.246 eV/atom. Its space group is Pnma, No. 62.



(5)
The following is a PBE calculation of a relaxed structure of Rb3Mo15Se17, from OQMD.

a = 9.567 Å, b = 9.567 Å, c = 21.174 Å
α = 90.00°, β = 90.00°, γ = 120.00°
Fractional coordinates of all 70 atoms:
Mo 0.162 0.644 0.035
Mo 0.647 0.484 0.750
Mo 0.481 0.838 0.035
Mo 0.484 0.837 0.250
Mo 0.163 0.647 0.250
Mo 0.516 0.163 0.750
Mo 0.356 0.519 0.465
Mo 0.837 0.353 0.750
Mo 0.497 0.315 0.856
Mo 0.519 0.162 0.965
Mo 0.685 0.181 0.856
Mo 0.315 0.819 0.144
Mo 0.819 0.503 0.856
Mo 0.838 0.356 0.965
Mo 0.181 0.497 0.144
Mo 0.353 0.516 0.250
Mo 0.519 0.162 0.535
Mo 0.644 0.481 0.965
Mo 0.644 0.481 0.535
Mo 0.503 0.685 0.144
Mo 0.819 0.503 0.644
Mo 0.181 0.497 0.356
Mo 0.481 0.838 0.465
Mo 0.356 0.519 0.035
Mo 0.315 0.819 0.356
Mo 0.685 0.181 0.644
Mo 0.503 0.685 0.356
Mo 0.162 0.644 0.465
Mo 0.838 0.356 0.535
Mo 0.497 0.315 0.644
Rb 0.667 0.333 0.250
Rb 0.000 0.000 0.861
Rb 0.000 0.000 0.139
Rb 0.000 0.000 0.361
Rb 0.000 0.000 0.639
Rb 0.333 0.667 0.750
Se 0.330 0.293 0.750
Se 0.041 0.332 0.044
Se 0.959 0.668 0.544
Se 0.630 0.629 0.642
Se 0.332 0.291 0.956
Se 0.670 0.707 0.250
Se 0.333 0.667 0.940
Se 0.999 0.370 0.642
Se 0.370 0.371 0.142
Se 0.333 0.667 0.560
Se 0.629 0.999 0.358
Se 0.668 0.709 0.456
Se 0.036 0.330 0.250
Se 0.709 0.041 0.544
Se 0.371 0.001 0.858
Se 0.667 0.333 0.440
Se 0.291 0.959 0.456
Se 0.332 0.291 0.544
Se 0.667 0.333 0.060
Se 0.291 0.959 0.044
Se 0.709 0.041 0.956
Se 0.001 0.630 0.358
Se 0.371 0.001 0.642
Se 0.668 0.709 0.044
Se 0.041 0.332 0.456
Se 0.001 0.630 0.142
Se 0.964 0.670 0.750
Se 0.999 0.370 0.858
Se 0.630 0.629 0.858
Se 0.629 0.999 0.142
Se 0.293 0.964 0.250
Se 0.370 0.371 0.358
Se 0.959 0.668 0.956
Se 0.707 0.036 0.750

## Properties
The calculation puts the total DFT energy (no corrections) at -7.075 eV/atom. Its space group is P6_3/m, No. 176.



(6)
The following is a PBE calculation of a relaxed structure of HfHg, from OQMD.

a = 4.272 Å, b = 4.272 Å, c = 6.049 Å
α = 90.00°, β = 90.00°, γ = 120.00°
Fractional coordinates of all 4 atoms:
Hg 0.000 0.000 0.500
Hg 0.000 0.000 0.000
Hf 0.667 0.333 0.250
Hf 0.333 0.667 0.750

## Properties
The calculation puts the total DFT energy (no corrections) at -4.742 eV/atom. The formation energy is 0.38 eV/atom. Its space group is P6_3/mmc, No. 194.